(1)
Below is a relaxed K2CuIO crystal, with properties calculated at the PBE level.

Summary:
ΔE to the lowest computed polymorph = 78.9 meV/atom
Formation energy from raw total energies = -965 meV/atom

a b c (Å): 7.5645 4.1519 9.6221
angles (deg): 90.00 111.74 90.00
Last column: nearest neighbours and their distance in Å.
Space group P2_1/m (No. 11)
Asymmetric unit:
K: 0.1793 0.2500 0.4768  3 O 2.65-2.77
K: 0.2007 0.2500 0.8541  2 O 2.70
Cu: 0.4540 0.7500 0.7386  1 O 1.83
I: 0.3067 0.7500 0.1997  2 Cu 2.67
O: 0.1937 0.7500 0.6721  1 Cu 1.83

(2)
Below is a relaxed Ba2ErB2S6 crystal, with properties calculated at the PBE level.

Summary:
Density of states at the Fermi level = 6.47 states/eV per cell
Formation energy from raw total energies = -1311 meV/atom

a b c (Å): 11.5375 6.6119 7.8973
angles (deg): 90.00 120.20 90.00
Last column: nearest neighbours and their distance in Å.
Space group C2/m (No. 12)
Asymmetric unit:
Ba: 0.2132 0.0000 0.2115  9 S 3.25-3.44, 1 B 3.63
Er: 0.0000 0.0000 0.5000  6 S 2.66-2.73
B: 0.0560 0.5000 0.2628  3 S 1.83-1.84
S: 0.0385 0.2620 0.7908  1 B 1.84
S: 0.2349 0.5000 0.3445  1 B 1.83

(3)
Below is a relaxed CaNdY4Ho2 crystal, with properties calculated at the PBE level.

Summary:
Density of states at the Fermi level = 70.40 states/eV per cell
DFT formation energy = 3.446 eV per formula unit

a b c (Å): 13.8129 13.4308 6.8592
angles (deg): 90.00 119.69 90.00
Last column: nearest neighbours and their distance in Å.
Space group C2/c (No. 15)
Asymmetric unit:
Ca: 0.0000 0.0000 0.0000  6 Y 3.42-3.64, 2 Ca 3.43
Nd: 0.2500 0.2500 0.0000  6 Y 3.40-3.46, 2 Ho 3.43
Y: 0.9997 0.2548 0.0011  3 Ho 3.29-3.46, 2 Y 3.41-3.45, 1 Ca 3.42, 2 Nd 3.46
Y: 0.2339 0.4972 0.4812  3 Ho 3.28-3.33, 1 Nd 3.40, 2 Y 3.43, 2 Ca 3.61-3.64
Ho: 0.0000 0.5000 0.0000  6 Y 3.28-3.30, 2 Ho 3.43
Ho: 0.2500 0.2500 0.5000  6 Y 3.33-3.46, 2 Nd 3.43

(4)
Below is a relaxed LiPa2Co2N6 crystal, with properties calculated at the PBE level.

Summary:
Density of states at the Fermi level = 26.74 states/eV per cell
Formation energy from raw total energies = -285 meV/atom

a b c (Å): 5.1740 5.1740 16.9021
angles (deg): 90.00 90.00 120.00
Last column: nearest neighbours and their distance in Å.
Space group R-3m (No. 166, hexagonal axes)
Asymmetric unit:
Li: 0.0000 0.0000 0.0000  6 N 2.21
Pa: 0.0000 0.0000 0.2155  9 N 2.39-2.60
Co: 0.0000 0.0000 0.3959  3 N 1.72
N: 0.0210 0.5105 0.7676  1 Co 1.72

(5)
Below is a relaxed Y3AlN crystal, with properties calculated at the PBE level.

Summary:
Density of states at the Fermi level = 8.96 states/eV per cell
Formation energy from raw total energies = -327 meV/atom

a b c (Å): 6.6120 6.6120 11.9038
angles (deg): 90.00 90.00 90.00
Last column: nearest neighbours and their distance in Å.
Space group I-4m2 (No. 119)
Asymmetric unit:
Y: 0.0000 0.0000 0.1306  3 Y 3.11-3.45, 2 Al 3.31
Y: 0.0000 0.2532 0.6158  2 N 2.17-2.28
Al: 0.0000 0.5000 0.1324  1 Al 2.80
N: 0.0000 0.0000 0.5000  4 Y 2.17
N: 0.0000 0.5000 0.7500  4 Y 2.28

(6)
Below is a relaxed Tb3Tm3Co4 crystal, with properties calculated at the PBE level.

Summary:
Density of states at the Fermi level = 12.47 states/eV per cell
DFT formation energy = -1.644 eV per formula unit

a b c (Å): 4.1450 10.0967 10.1364
angles (deg): 90.00 90.00 90.00
Last column: nearest neighbours and their distance in Å.
Space group Amm2 (No. 38)
Asymmetric unit:
Tb: 0.0000 0.0000 0.0000  6 Co 2.95-3.07
Tb: 0.5000 0.2501 0.0802  4 Co 2.85-2.93
Tm: 0.0000 0.0000 0.6562  6 Co 2.92-2.97
Tm: 0.0000 0.1711 0.3301  6 Co 2.91-3.02
Co: 0.5000 0.0000 0.2235  1 Co 2.25
Co: 0.5000 0.0000 0.4457  1 Co 2.25
Co: 0.5000 0.1119 0.8258  1 Co 2.26

(7)
Below is a relaxed ReWS2 crystal, with properties calculated at the PBE level.

Summary:
ΔE to the lowest computed polymorph = 276.5 meV/atom
Density of states at the Fermi level = 8.63 states/eV per cell
Formation energy from raw total energies = 328 meV/atom

a b c (Å): 5.9961 5.9961 5.9961
angles (deg): 90.00 90.00 90.00
Last column: nearest neighbours and their distance in Å.
Space group Fm-3m (No. 225)
Asymmetric unit:
Re: 0.0000 0.0000 0.0000  8 S 2.60
W: 0.0000 0.0000 0.5000  8 S 2.60
S: 0.2500 0.2500 0.2500  4 W 2.60, 4 Re 2.60

(8)
Below is a relaxed CaTb3Se4 crystal, with properties calculated at the PBE level.

Summary:
ΔE to the lowest computed polymorph = 0.0 meV/atom
Density of states at the Fermi level = 2.78 states/eV per cell
Formation energy from raw total energies = -1831 meV/atom

a b c (Å): 5.8077 5.8077 11.6587
angles (deg): 90.00 90.00 90.00
Last column: nearest neighbours and their distance in Å.
Space group I4/mmm (No. 139)
Asymmetric unit:
Ca: 0.0000 0.0000 0.0000  6 Se 2.89-2.90
Tb: 0.0000 0.0000 0.5000  6 Se 2.90-2.94
Tb: 0.0000 0.5000 0.2500  6 Se 2.90-2.91
Se: 0.0000 0.0000 0.2480  1 Ca 2.89, 5 Tb 2.90-2.94
Se: 0.0000 0.5000 0.0000  4 Tb 2.90-2.91, 2 Ca 2.90

What did the sixth record say?
Below is a relaxed Tb3Tm3Co4 crystal, with properties calculated at the PBE level.

Summary:
Density of states at the Fermi level = 12.47 states/eV per cell
DFT formation energy = -1.644 eV per formula unit

a b c (Å): 4.1450 10.0967 10.1364
angles (deg): 90.00 90.00 90.00
Last column: nearest neighbours and their distance in Å.
Space group Amm2 (No. 38)
Asymmetric unit:
Tb: 0.0000 0.0000 0.0000  6 Co 2.95-3.07
Tb: 0.5000 0.2501 0.0802  4 Co 2.85-2.93
Tm: 0.0000 0.0000 0.6562  6 Co 2.92-2.97
Tm: 0.0000 0.1711 0.3301  6 Co 2.91-3.02
Co: 0.5000 0.0000 0.2235  1 Co 2.25
Co: 0.5000 0.0000 0.4457  1 Co 2.25
Co: 0.5000 0.1119 0.8258  1 Co 2.26